Below is a geometry-optimized Na4Pu2Br9 structure, with properties calculated at the GGA-PBE level.

Computed properties:
Volume ... 33.58 A^3/atom
Energy relative to the elements, uncorrected ... -23.660 eV per formula unit
Total moment ... 11.0 μB per formula unit

abc: 7.520 7.522 20.554
angles: 89.96 89.97 60.06
Space group P-1 (No. 2)
Inequivalent atoms, fractional coordinates:
1 Na 0.166 0.166 0.487 (multiplicity 2)
2 Na 0.166 0.167 0.677 (multiplicity 2)
3 Na 0.167 0.166 0.986 (multiplicity 2)
4 Na 0.168 0.166 0.178 (multiplicity 2)
5 Pu 0.499 0.502 0.651 (multiplicity 2)
6 Pu 0.500 0.499 0.850 (multiplicity 2)
7 Br 0.145 0.524 0.915 (multiplicity 2)
8 Br 0.147 0.830 0.415 (multiplicity 2)
9 Br 0.168 0.478 0.585 (multiplicity 2)
10 Br 0.170 0.855 0.085 (multiplicity 2)
11 Br 0.204 0.500 0.250 (multiplicity 2)
12 Br 0.204 0.797 0.750 (multiplicity 2)
13 Br 0.476 0.171 0.085 (multiplicity 2)
14 Br 0.476 0.855 0.584 (multiplicity 2)
15 Br 0.498 0.204 0.750 (multiplicity 2)

Below is a geometry-optimized TbDy5Ho2Sc structure, with properties calculated at the GGA-PBE level.

Computed properties:
Volume ... 31.37 A^3/atom
DFT formation energy ... 0.167 eV/atom
Total moment ... 0.0 μB per formula unit

abc: 5.521 19.781 10.341
angles: 90.00 90.00 90.00
Space group Cmc2_1 (No. 36)
Inequivalent atoms, fractional coordinates:
1 Tb 0.000 0.090 0.000 (multiplicity 4)
2 Dy 0.000 0.018 0.284 (multiplicity 4)
3 Dy 0.000 0.123 0.565 (multiplicity 4)
4 Dy 0.000 0.200 0.249 (multiplicity 4)
5 Dy 0.000 0.224 0.864 (multiplicity 4)
6 Dy 0.000 0.482 0.561 (multiplicity 4)
7 Ho 0.000 0.386 0.281 (multiplicity 4)
8 Ho 0.000 0.388 0.856 (multiplicity 4)
9 Sc 0.000 0.305 0.558 (multiplicity 4)

Below is a geometry-optimized La2PmCd2In2 structure, with properties calculated at the GGA-PBE level.

Computed properties:
Volume ... 28.89 A^3/atom
DFT formation energy ... -0.324 eV/atom
Total moment ... 0.0 μB per formula unit

abc: 5.0069 5.0069 27.9462
angles: 90.00 90.00 120.00
Space group R-3m (No. 166, hexagonal axes)
Inequivalent atoms, fractional coordinates:
1 La 0.0000 0.0000 0.1299 (multiplicity 6)
2 Pm 0.0000 0.0000 0.0000 (multiplicity 3)
3 Cd 0.0000 0.0000 0.3956 (multiplicity 6)
4 In 0.0000 0.0000 0.2646 (multiplicity 6)

Below is a geometry-optimized La3Al11 structure, with properties calculated at the GGA-PBE level.

Computed properties:
Volume ... 21.11 A^3/atom
DFT formation energy ... -0.399 eV/atom
Total moment ... 0.0 μB per formula unit

abc: 4.434 10.105 13.193
angles: 90.00 90.00 90.00
Space group Immm (No. 71)
Inequivalent atoms, fractional coordinates:
1 La 0.000 0.000 0.000 (multiplicity 2)
2 La 0.000 0.000 0.316 (multiplicity 4)
3 Al 0.000 0.216 0.500 (multiplicity 4)
4 Al 0.000 0.275 0.137 (multiplicity 8)
5 Al 0.000 0.368 0.334 (multiplicity 8)
6 Al 0.000 0.500 0.000 (multiplicity 2)

Below is a geometry-optimized CsZnAgAu structure, with properties calculated at the GGA-PBE level.

Computed properties:
Volume ... 31.20 A^3/atom
DFT formation energy ... -0.154 eV/atom
Total moment ... 0.0 μB per formula unit

abc: 8.176 4.723 7.022
angles: 90.00 113.00 90.00
Space group Cm (No. 8)
Inequivalent atoms, fractional coordinates:
1 Cs 0.000 0.000 0.000 (multiplicity 2)
2 Zn 0.498 0.000 0.494 (multiplicity 2)
3 Ag 0.181 0.000 0.542 (multiplicity 2)
4 Au 0.317 0.500 0.452 (multiplicity 2)

Below is a geometry-optimized ScInBr2F structure, with properties calculated at the GGA-PBE level.

Computed properties:
Volume ... 26.20 A^3/atom
Energy relative to the elements, uncorrected ... -8.356 eV per formula unit
Total moment ... 0.8 μB per formula unit

abc: 5.650 5.650 4.103
angles: 90.00 90.00 90.00
Space group P4/mmm (No. 123)
Inequivalent atoms, fractional coordinates:
1 Sc 0.000 0.000 0.000 (multiplicity 1)
2 In 0.500 0.500 0.500 (multiplicity 1)
3 Br 0.000 0.500 0.000 (multiplicity 2)
4 F 0.000 0.000 0.500 (multiplicity 1)

Below is a geometry-optimized Ba3Ga2Sb4 structure, with properties calculated at the GGA-PBE level.

Computed properties:
Volume ... 36.92 A^3/atom
Energy relative to the elements, uncorrected ... -5.766 eV per formula unit
Excess energy over the best structure of this formula in the dataset ... 0.0700 eV per atom
Total moment ... 0.0 μB per formula unit

abc: 16.502 9.995 8.171
angles: 90.00 99.57 90.00
Space group C2/c (No. 15)
Inequivalent atoms, fractional coordinates:
1 Ba 0.000 0.034 0.250 (multiplicity 4)
2 Ba 0.139 0.407 0.349 (multiplicity 8)
3 Ga 0.191 0.160 0.978 (multiplicity 8)
4 Sb 0.036 0.282 0.929 (multiplicity 8)
5 Sb 0.210 0.079 0.312 (multiplicity 8)

Below is a geometry-optimized NaLa2Sn9 structure, with properties calculated at the GGA-PBE level.

Computed properties:
Volume ... 27.41 A^3/atom
DFT formation energy ... -0.417 eV/atom
Total moment ... 0.0 μB per formula unit

abc: 4.772 4.772 14.439
angles: 90.00 90.00 90.00
Space group P4/mmm (No. 123)
Inequivalent atoms, fractional coordinates:
1 Na 0.000 0.000 0.000 (multiplicity 1)
2 La 0.000 0.000 0.336 (multiplicity 2)
3 Sn 0.000 0.500 0.161 (multiplicity 4)
4 Sn 0.000 0.500 0.500 (multiplicity 2)
5 Sn 0.500 0.500 0.000 (multiplicity 1)
6 Sn 0.500 0.500 0.328 (multiplicity 2)

Below is a geometry-optimized BaZn2F7 structure, with properties calculated at the GGA-PBE level.

Computed properties:
Volume ... 13.92 A^3/atom
Energy relative to the elements, uncorrected ... -25.003 eV per formula unit
Total moment ... 1.0 μB per formula unit

abc: 6.569 10.652 3.980
angles: 90.00 90.00 90.00
Space group Cmmm (No. 65)
Inequivalent atoms, fractional coordinates:
1 Ba 0.000 0.000 0.000 (multiplicity 2)
2 Zn 0.000 0.305 0.500 (multiplicity 4)
3 F 0.000 0.288 0.000 (multiplicity 4)
4 F 0.000 0.500 0.500 (multiplicity 2)
5 F 0.190 0.137 0.500 (multiplicity 8)

Below is a geometry-optimized GaNi4Pt structure, with properties calculated at the GGA-PBE level.

Computed properties:
Volume ... 12.77 A^3/atom
DFT formation energy ... -0.105 eV/atom
Excess energy over the best structure of this formula in the dataset ... 0.0553 eV per atom
Total moment ... 1.3 μB per formula unit

abc: 4.448 6.032 6.731
angles: 110.03 96.37 110.61
Space group P-1 (No. 2)
Inequivalent atoms, fractional coordinates:
1 Ga 0.191 0.269 0.368 (multiplicity 2)
2 Ni 0.195 0.155 0.686 (multiplicity 2)
3 Ni 0.262 0.611 0.751 (multiplicity 2)
4 Ni 0.299 0.778 0.461 (multiplicity 2)
5 Ni 0.358 0.929 0.140 (multiplicity 2)
6 Pt 0.236 0.441 0.077 (multiplicity 2)

Below is a geometry-optimized Na2BN structure, with properties calculated at the GGA-PBE level.

Computed properties:
Volume ... 14.98 A^3/atom
Energy relative to the elements, uncorrected ... 6.669 eV per formula unit
Excess energy over the best structure of this formula in the dataset ... 1.7388 eV per atom
Total moment ... 1.2 μB per formula unit

abc: 3.803 3.803 16.574
angles: 90.00 90.00 90.00
Space group I-42d (No. 122)
Inequivalent atoms, fractional coordinates:
1 Na 0.219 0.250 0.125 (multiplicity 8)
2 B 0.000 0.000 0.500 (multiplicity 4)
3 N 0.000 0.000 0.000 (multiplicity 4)

Below is a geometry-optimized PmGa5Ni2Ru structure, with properties calculated at the GGA-PBE level.

Computed properties:
Volume ... 16.85 A^3/atom
DFT formation energy ... -0.261 eV/atom
Total moment ... 0.0 μB per formula unit

abc: 4.622 4.622 7.098
angles: 90.00 90.00 90.00
Space group P4/mmm (No. 123)
Inequivalent atoms, fractional coordinates:
1 Pm 0.000 0.000 0.000 (multiplicity 1)
2 Ga 0.000 0.500 0.309 (multiplicity 4)
3 Ga 0.500 0.500 0.000 (multiplicity 1)
4 Ni 0.500 0.500 0.325 (multiplicity 2)
5 Ru 0.000 0.000 0.500 (multiplicity 1)

Below is a geometry-optimized TlCr3Br structure, with properties calculated at the GGA-PBE level.

Computed properties:
Volume ... 23.01 A^3/atom
Energy relative to the elements, uncorrected ... 5.469 eV per formula unit
Excess energy over the best structure of this formula in the dataset ... 0.0000 eV per atom
Total moment ... 12.0 μB per formula unit

abc: 4.864 4.864 4.864
angles: 90.00 90.00 90.00
Space group Pm-3m (No. 221)
Inequivalent atoms, fractional coordinates:
1 Tl 0.000 0.000 0.000 (multiplicity 1)
2 Cr 0.000 0.500 0.500 (multiplicity 3)
3 Br 0.500 0.500 0.500 (multiplicity 1)

Below is a geometry-optimized LaNi2As structure, with properties calculated at the GGA-PBE level.

Computed properties:
Volume ... 19.57 A^3/atom
DFT formation energy ... -0.572 eV/atom
Total moment ... 0.0 μB per formula unit

abc: 4.320 4.214 4.383
angles: 90.00 101.21 90.00
Space group Pm (No. 6)
Inequivalent atoms, fractional coordinates:
1 La 0.000 0.000 0.000 (multiplicity 1)
2 Ni 0.416 0.500 0.780 (multiplicity 1)
3 Ni 0.495 0.000 0.514 (multiplicity 1)
4 As 0.582 0.500 0.308 (multiplicity 1)

Below is a geometry-optimized ZnCu2Au structure, with properties calculated at the GGA-PBE level.

Computed properties:
Volume ... 14.20 A^3/atom
DFT formation energy ... -0.077 eV/atom
Total moment ... 0.0 μB per formula unit

abc: 6.102 6.102 6.102
angles: 90.00 90.00 90.00
Space group F-43m (No. 216)
Inequivalent atoms, fractional coordinates:
1 Zn 0.000 0.000 0.000 (multiplicity 4)
2 Cu 0.000 0.000 0.500 (multiplicity 4)
3 Cu 0.250 0.250 0.750 (multiplicity 4)
4 Au 0.250 0.250 0.250 (multiplicity 4)

Below is a geometry-optimized Rb2NaNd structure, with properties calculated at the GGA-PBE level.

Computed properties:
Volume ... 50.66 A^3/atom
DFT formation energy ... 0.381 eV/atom
Total moment ... 0.0 μB per formula unit

abc: 3.9350 3.9350 45.3316
angles: 90.00 90.00 120.00
Space group R-3m (No. 166, hexagonal axes)
Inequivalent atoms, fractional coordinates:
1 Rb 0.0000 0.0000 0.0854 (multiplicity 6)
2 Na 0.0000 0.0000 0.5000 (multiplicity 3)
3 Nd 0.0000 0.0000 0.0000 (multiplicity 3)

Below is a geometry-optimized Dy4TlRh5 structure, with properties calculated at the GGA-PBE level.

Computed properties:
Volume ... 19.65 A^3/atom
DFT formation energy ... -0.701 eV/atom
Total moment ... 0.0 μB per formula unit

abc: 3.450 3.450 16.515
angles: 90.00 90.00 90.00
Space group P4/mmm (No. 123)
Inequivalent atoms, fractional coordinates:
1 Dy 0.000 0.000 0.102 (multiplicity 2)
2 Dy 0.000 0.000 0.306 (multiplicity 2)
3 Tl 0.000 0.000 0.500 (multiplicity 1)
4 Rh 0.500 0.500 0.000 (multiplicity 1)
5 Rh 0.500 0.500 0.203 (multiplicity 2)
6 Rh 0.500 0.500 0.405 (multiplicity 2)

Below is a geometry-optimized Cu2PbI structure, with properties calculated at the GGA-PBE level.

Computed properties:
Volume ... 22.26 A^3/atom
Energy relative to the elements, uncorrected ... 2.461 eV per formula unit
Excess energy over the best structure of this formula in the dataset ... 0.3125 eV per atom
Total moment ... 0.0 μB per formula unit

abc: 7.089 7.089 7.089
angles: 90.00 90.00 90.00
Space group Fm-3m (No. 225)
Inequivalent atoms, fractional coordinates:
1 Cu 0.250 0.250 0.250 (multiplicity 8)
2 Pb 0.000 0.000 0.000 (multiplicity 4)
3 I 0.000 0.000 0.500 (multiplicity 4)

Below is a geometry-optimized Sc2Cd13 structure, with properties calculated at the GGA-PBE level.

Computed properties:
Volume ... 26.74 A^3/atom
DFT formation energy ... 0.064 eV/atom
Excess energy over the best structure of this formula in the dataset ... 0.0161 eV per atom
Total moment ... 0.0 μB per formula unit

abc: 7.8680 7.8680 22.4458
angles: 90.00 90.00 120.00
Space group R-3m (No. 166, hexagonal axes)
Inequivalent atoms, fractional coordinates:
1 Sc 0.0000 0.0000 0.1303 (multiplicity 6)
2 Cd 0.0000 0.0000 0.0000 (multiplicity 3)
3 Cd 0.0823 0.5411 0.2756 (multiplicity 18)
4 Cd 0.0828 0.5414 0.4272 (multiplicity 18)

Below is a geometry-optimized RbHSeN2 structure, with properties calculated at the GGA-PBE level.

Computed properties:
Volume ... 18.93 A^3/atom
Excess energy over the best structure of this formula in the dataset ... 0.0000 eV per atom
Total moment ... 5.3 μB per formula unit

abc: 5.125 5.125 3.603
angles: 90.00 90.00 90.00
Space group P4/mmm (No. 123)
Inequivalent atoms, fractional coordinates:
1 Rb 0.000 0.000 0.000 (multiplicity 1)
2 H 0.500 0.500 0.500 (multiplicity 1)
3 Se 0.500 0.500 0.000 (multiplicity 1)
4 N 0.000 0.500 0.500 (multiplicity 2)

Below is a geometry-optimized LaPdC2 structure, with properties calculated at the GGA-PBE level.

Computed properties:
Volume ... 16.04 A^3/atom
DFT formation energy ... 0.720 eV/atom
Total moment ... 0.0 μB per formula unit

abc: 4.331 4.331 13.681
angles: 90.00 90.00 90.00
Space group I-42d (No. 122)
Inequivalent atoms, fractional coordinates:
1 La 0.000 0.000 0.000 (multiplicity 4)
2 Pd 0.000 0.000 0.500 (multiplicity 4)
3 C 0.078 0.250 0.625 (multiplicity 8)

Below is a geometry-optimized LiWS2 structure, with properties calculated at the GGA-PBE level.

Computed properties:
Volume ... 17.94 A^3/atom
Energy relative to the elements, uncorrected ... -2.062 eV per formula unit
Total moment ... 0.0 μB per formula unit

abc: 3.2576 3.2576 23.4192
angles: 90.00 90.00 120.00
Space group R-3m (No. 166, hexagonal axes)
Inequivalent atoms, fractional coordinates:
1 Li 0.0000 0.0000 0.0000 (multiplicity 3)
2 W 0.0000 0.0000 0.5000 (multiplicity 3)
3 S 0.0000 0.0000 0.0993 (multiplicity 6)

Below is a geometry-optimized YMnIr2 structure, with properties calculated at the GGA-PBE level.

Computed properties:
Volume ... 17.34 A^3/atom
DFT formation energy ... 0.074 eV/atom
Total moment ... 3.9 μB per formula unit

abc: 3.0548 3.0548 25.7531
angles: 90.00 90.00 120.00
Space group R-3m (No. 166, hexagonal axes)
Inequivalent atoms, fractional coordinates:
1 Y 0.0000 0.0000 0.0000 (multiplicity 3)
2 Mn 0.0000 0.0000 0.5000 (multiplicity 3)
3 Ir 0.0000 0.0000 0.2428 (multiplicity 6)